# TiP2SeO

A geometry-optimized TiP2SeO structure (GGA-PBE, Alexandria via LeMat-Bulk).

a = 4.7373 Å, b = 4.7373 Å, c = 3.7137 Å
α = 90.00°, β = 90.00°, γ = 90.00°
Last column: nearest neighbours and their distance in Å.
Positions (direct):
Ti (0.5000, 0.5000, 0.5000)  8 P 3.01, 4 O 3.35
P (0.5000, 0.0000, 0.0000)  2 Se 2.37
P (0.0000, 0.5000, 0.0000)  2 Se 2.37
O (0.0000, 0.0000, 0.5000)  2 Se 1.86
Se (0.0000, 0.0000, 0.0000)  2 O 1.86

Results
Magnetization (Bohr magnetons per cell): 0.000
Energy relative to the elements, uncorrected (eV per atom): 0.3322
E (eV/atom): -5.10
Polymorph energy (0 for the lowest one) (eV/atom): 0.706



# TlP2SeO

A geometry-optimized TlP2SeO structure (GGA-PBE, Alexandria via LeMat-Bulk).

a = 4.9880 Å, b = 4.9880 Å, c = 3.8064 Å
α = 90.00°, β = 90.00°, γ = 90.00°
Last column: nearest neighbours and their distance in Å.
Positions (direct):
P (0.0000, 0.5000, 0.0000)  2 Se 2.49
P (0.5000, 0.0000, 0.0000)  2 Se 2.49
O (0.0000, 0.0000, 0.5000)  2 Se 1.90
Tl (0.5000, 0.5000, 0.5000)  8 P 3.14
Se (0.0000, 0.0000, 0.0000)  2 O 1.90

Results
Magnetization (Bohr magnetons per cell): 0.000
Energy relative to the elements, uncorrected (eV per atom): 0.4639
E (eV/atom): -3.86
Polymorph energy (0 for the lowest one) (eV/atom): 0.000



# TlP2SeO

A geometry-optimized TlP2SeO structure (GGA-PBE, Alexandria via LeMat-Bulk).

a = 5.1813 Å, b = 5.1813 Å, c = 4.0937 Å
α = 90.00°, β = 90.00°, γ = 90.00°
Last column: nearest neighbours and their distance in Å.
Positions (direct):
P (0.0000, 0.5000, 0.0000)  2 Tl 2.59
P (0.5000, 0.0000, 0.0000)  2 Tl 2.59
Tl (0.0000, 0.0000, 0.0000)  2 O 2.05
O (0.0000, 0.0000, 0.5000)  2 Tl 2.05
Se (0.5000, 0.5000, 0.5000)  8 P 3.30, 4 O 3.66

Results
Magnetization (Bohr magnetons per cell): 0.385
Energy relative to the elements, uncorrected (eV per atom): 1.0555
E (eV/atom): -3.27
Polymorph energy (0 for the lowest one) (eV/atom): 0.592



# TlPSeO2

A geometry-optimized TlPSeO2 structure (GGA-PBE, Alexandria via LeMat-Bulk).

a = 3.9803 Å, b = 3.9803 Å, c = 7.6851 Å
α = 90.00°, β = 90.00°, γ = 90.00°
Last column: nearest neighbours and their distance in Å.
Positions (direct):
Tl (0.0000, 0.0000, 0.0000)  4 O 1.99
O (0.0000, 0.5000, 0.0000)  2 Tl 1.99
O (0.5000, 0.0000, 0.0000)  2 Tl 1.99
P (0.0000, 0.0000, 0.5000)  4 Se 2.81
Se (0.5000, 0.5000, 0.5000)  4 P 2.81

Results
Magnetization (Bohr magnetons per cell): 1.123
Energy relative to the elements, uncorrected (eV per atom): 0.6034
E (eV/atom): -3.63
Polymorph energy (0 for the lowest one) (eV/atom): 0.609



# TlP2SeO8

A geometry-optimized TlP2SeO8 structure (GGA-PBE, Alexandria via LeMat-Bulk).

a = 4.8958 Å, b = 4.8958 Å, c = 7.7039 Å
α = 89.75°, β = 89.75°, γ = 65.83°
Last column: nearest neighbours and their distance in Å.
Positions (direct):
O (0.7642, 0.7642, 0.0540)  1 P 1.55
O (0.2253, 0.7066, 0.8034)  1 P 1.58
O (0.7747, 0.2934, 0.1966)  1 P 1.58
O (0.2821, 0.2821, 0.6066)  1 P 1.52
O (0.2934, 0.7747, 0.1966)  1 P 1.58
O (0.7066, 0.2253, 0.8034)  1 P 1.58
O (0.7179, 0.7179, 0.3934)  1 P 1.52
O (0.2358, 0.2358, 0.9460)  1 P 1.55
Se (0.0000, 0.0000, 0.0000)  6 O 1.98-2.07
P (0.3534, 0.3534, 0.7880)  4 O 1.52-1.58
P (0.6466, 0.6466, 0.2120)  4 O 1.52-1.58
Tl (0.0000, 0.0000, 0.5000)  6 O 2.46-2.73

Results
Magnetization (Bohr magnetons per cell): 0.001
Energy relative to the elements, uncorrected (eV per atom): -1.4269
E (eV/atom): -6.12



# TlPSeO2

A geometry-optimized TlPSeO2 structure (GGA-PBE, Alexandria via LeMat-Bulk).

a = 3.9304 Å, b = 3.9304 Å, c = 5.0533 Å
α = 90.00°, β = 90.00°, γ = 90.00°
Last column: nearest neighbours and their distance in Å.
Positions (direct):
P (0.0000, 0.0000, 0.5000)  2 Se 2.53, 4 Tl 2.78
O (0.5000, 0.0000, 0.0000)  2 Se 1.97
O (0.0000, 0.5000, 0.0000)  2 Se 1.97
Tl (0.5000, 0.5000, 0.5000)  4 P 2.78
Se (0.0000, 0.0000, 0.0000)  4 O 1.97

Results
Magnetization (Bohr magnetons per cell): 0.000
Energy relative to the elements, uncorrected (eV per atom): -0.0053
E (eV/atom): -4.24
Polymorph energy (0 for the lowest one) (eV/atom): 0.000



# Tm8P3Se4O

A geometry-optimized Tm8P3Se4O structure (GGA-PBE, Alexandria via LeMat-Bulk).

a = 7.7583 Å, b = 7.9384 Å, c = 7.7581 Å
α = 119.25°, β = 120.00°, γ = 90.00°
Last column: nearest neighbours and their distance in Å.
Positions (direct):
Tm (0.2330, 0.7169, 0.4661)  1 O 2.59, 2 P 2.69, 2 Se 2.88
Tm (0.7668, 0.2829, 0.0161)  1 O 2.59, 2 P 2.69, 2 Se 2.88
Tm (0.7420, 0.7261, 0.4841)  3 P 2.69, 3 Se 2.87
Tm (0.2332, 0.7171, 0.9839)  1 O 2.59, 2 P 2.69, 2 Se 2.88
Tm (0.2580, 0.2739, 0.5159)  3 P 2.69, 3 Se 2.87
Tm (0.2492, 0.2829, 0.0161)  1 O 2.59, 2 P 2.69, 2 Se 2.88
Tm (0.7670, 0.2831, 0.5339)  1 O 2.59, 2 P 2.69, 2 Se 2.88
Tm (0.7508, 0.7171, 0.9839)  1 O 2.59, 2 P 2.69, 2 Se 2.88
Se (0.0000, 0.0000, 0.5000)  6 Tm 2.87-2.88
Se (0.0000, 0.0000, 0.0000)  6 Tm 2.87-2.88
Se (0.5000, 0.0000, 0.5000)  6 Tm 2.87-2.88
Se (0.5000, 0.0000, 0.0000)  6 Tm 2.97
P (0.5000, 0.5000, 0.0000)  6 Tm 2.69
P (0.5000, 0.5000, 0.5000)  6 Tm 2.69
P (0.0000, 0.5000, 0.5000)  6 Tm 2.69
O (0.0000, 0.5000, 0.0000)  6 Tm 2.59

Results
Magnetization (Bohr magnetons per cell): 0.000
Energy relative to the elements, uncorrected (eV per atom): -1.8005
E (eV/atom): -6.23



What did the second record say?
# TlP2SeO

A geometry-optimized TlP2SeO structure (GGA-PBE, Alexandria via LeMat-Bulk).

a = 4.9880 Å, b = 4.9880 Å, c = 3.8064 Å
α = 90.00°, β = 90.00°, γ = 90.00°
Last column: nearest neighbours and their distance in Å.
Positions (direct):
P (0.0000, 0.5000, 0.0000)  2 Se 2.49
P (0.5000, 0.0000, 0.0000)  2 Se 2.49
O (0.0000, 0.0000, 0.5000)  2 Se 1.90
Tl (0.5000, 0.5000, 0.5000)  8 P 3.14
Se (0.0000, 0.0000, 0.0000)  2 O 1.90

Results
Magnetization (Bohr magnetons per cell): 0.000
Energy relative to the elements, uncorrected (eV per atom): 0.4639
E (eV/atom): -3.86
Polymorph energy (0 for the lowest one) (eV/atom): 0.000



Please write out number 6 again, unchanged.
# TlPSeO2

A geometry-optimized TlPSeO2 structure (GGA-PBE, Alexandria via LeMat-Bulk).

a = 3.9304 Å, b = 3.9304 Å, c = 5.0533 Å
α = 90.00°, β = 90.00°, γ = 90.00°
Last column: nearest neighbours and their distance in Å.
Positions (direct):
P (0.0000, 0.0000, 0.5000)  2 Se 2.53, 4 Tl 2.78
O (0.5000, 0.0000, 0.0000)  2 Se 1.97
O (0.0000, 0.5000, 0.0000)  2 Se 1.97
Tl (0.5000, 0.5000, 0.5000)  4 P 2.78
Se (0.0000, 0.0000, 0.0000)  4 O 1.97

Results
Magnetization (Bohr magnetons per cell): 0.000
Energy relative to the elements, uncorrected (eV per atom): -0.0053
E (eV/atom): -4.24
Polymorph energy (0 for the lowest one) (eV/atom): 0.000